Below is a relaxed Tl2ReP crystal, with properties calculated at the PBE level.

```
4
Lattice="3.629 0.000 0.000 0.000 3.629 0.000 0.000 0.000 5.973" Properties=species:S:1:pos:R:3 pbc="T T T"
Tl 0.000 0.000 1.485
Tl 0.000 0.000 4.488
Re 1.814 1.814 0.000
P 1.814 1.814 2.986
```

The crystal system is tetragonal. For the energy, the calculation gives -4.53 eV/atom. Its space group is P4/mmm. The energy relative to the lowest polymorph listed for this composition comes out at 935 meV/atom. The calculated volume is 19.7 Å³ per atom.

=====

Below is a relaxed TlRe2P crystal, with properties calculated at the PBE level.

```
4
Lattice="2.993 0.000 0.000 0.000 4.413 0.000 -1.491 0.000 5.365" Properties=species:S:1:pos:R:3 pbc="T T T"
Tl 0.000 0.000 0.000
Re -0.005 2.207 3.508
Re 1.488 0.000 2.588
P 1.492 2.207 1.671
```

The crystal system is monoclinic. For the energy, the calculation gives -7.64 eV/atom. Its space group is Pm. The energy relative to the lowest polymorph listed for this composition comes out at 200 meV/atom. The calculated volume is 17.7 Å³ per atom.

=====

Below is a relaxed Tl2ReP crystal, with properties calculated at the PBE level.

```
4
Lattice="5.319 -1.588 0.000 5.319 1.588 0.000 -3.615 0.000 5.170" Properties=species:S:1:pos:R:3 pbc="T T T"
Tl 0.000 0.000 0.000
Tl -0.882 0.000 3.274
Re 7.888 0.000 0.698
P 1.917 0.000 2.229
```

The crystal system is monoclinic. For the energy, the calculation gives -5.21 eV/atom. Its space group is Cm. The energy relative to the lowest polymorph listed for this composition comes out at 250 meV/atom. The calculated volume is 21.8 Å³ per atom.

=====

Below is a relaxed Tl2ReP crystal, with properties calculated at the PBE level.

```
4
Lattice="1.679 -2.437 0.000 1.679 2.437 0.000 0.000 0.000 9.946" Properties=species:S:1:pos:R:3 pbc="T T T"
Tl 0.000 0.000 2.454
Tl 0.000 0.000 7.491
Re 1.679 0.000 0.000
P 1.679 0.000 4.973
```

The crystal system is orthorhombic. For the energy, the calculation gives -4.54 eV/atom. Its space group is Cmmm. The energy relative to the lowest polymorph listed for this composition comes out at 925 meV/atom. The calculated volume is 20.3 Å³ per atom.

=====

Below is a relaxed TlReP4 crystal, with properties calculated at the PBE level.

```
6
Lattice="0.000 3.687 3.687 3.687 0.000 3.687 3.687 3.687 0.000" Properties=species:S:1:pos:R:3 pbc="T T T"
Tl 0.000 0.000 0.000
Re 1.844 1.844 1.844
P 4.551 2.824 2.824
P 2.824 4.551 2.824
P 2.824 2.824 4.551
P 4.551 4.551 4.551
```

The crystal system is cubic. For the energy, the calculation gives -4.96 eV/atom. Its space group is F-43m. The calculated volume is 16.7 Å³ per atom.

=====

Below is a relaxed TlRe2P crystal, with properties calculated at the PBE level.

```
4
Lattice="4.570 0.000 0.000 0.000 3.012 0.000 -1.986 0.000 4.734" Properties=species:S:1:pos:R:3 pbc="T T T"
Tl 0.000 0.000 0.000
Re 1.292 0.000 2.367
Re 2.285 1.506 0.000
P -0.993 1.506 2.367
```

The crystal system is monoclinic. For the energy, the calculation gives -7.25 eV/atom. Its space group is P2/m. The energy relative to the lowest polymorph listed for this composition comes out at 590 meV/atom. The calculated volume is 16.3 Å³ per atom.

=====

Below is a relaxed Tl2ReP crystal, with properties calculated at the PBE level.

```
4
Lattice="0.000 3.452 3.452 3.452 0.000 3.452 3.452 3.452 0.000" Properties=species:S:1:pos:R:3 pbc="T T T"
Tl 0.000 0.000 0.000
Tl 1.726 1.726 1.726
Re 5.179 5.179 5.179
P 3.452 3.452 3.452
```

The crystal system is cubic. For the energy, the calculation gives -4.44 eV/atom. Its space group is F-43m. The energy relative to the lowest polymorph listed for this composition comes out at 1025 meV/atom. The calculated volume is 20.6 Å³ per atom.

=====

Below is a relaxed TlRe2P crystal, with properties calculated at the PBE level.

```
4
Lattice="0.000 3.218 3.218 3.218 0.000 3.218 3.218 3.218 0.000" Properties=species:S:1:pos:R:3 pbc="T T T"
Tl 0.000 0.000 0.000
Re 1.609 1.609 1.609
Re 3.218 3.218 3.218
P 4.827 4.827 4.827
```

The crystal system is cubic. For the energy, the calculation gives -7.15 eV/atom. Its space group is F-43m. The energy relative to the lowest polymorph listed for this composition comes out at 693 meV/atom. The calculated volume is 16.7 Å³ per atom.

=====

Below is a relaxed TlRe3P crystal, with properties calculated at the PBE level.

```
5
Lattice="4.450 0.000 0.000 0.000 4.450 0.000 0.000 0.000 4.450" Properties=species:S:1:pos:R:3 pbc="T T T"
Tl 0.000 0.000 0.000
Re 0.000 2.225 2.225
Re 2.225 0.000 2.225
Re 2.225 2.225 0.000
P 2.225 2.225 2.225
```

The crystal system is cubic. For the energy, the calculation gives -7.99 eV/atom. Its space group is Pm-3m. The energy relative to the lowest polymorph listed for this composition comes out at 0 meV/atom. The calculated volume is 17.6 Å³ per atom.

=====

Below is a relaxed TlRe3P crystal, with properties calculated at the PBE level.

```
5
Lattice="4.948 0.000 0.000 0.000 4.948 0.000 0.000 0.000 4.948" Properties=species:S:1:pos:R:3 pbc="T T T"
Tl 0.000 0.000 0.000
Re 0.000 0.000 2.474
Re 0.000 2.474 0.000
Re 2.474 0.000 0.000
P 2.474 2.474 2.474
```

The crystal system is cubic. For the energy, the calculation gives -5.38 eV/atom. Its space group is Pm-3m. The energy relative to the lowest polymorph listed for this composition comes out at 2611 meV/atom. The calculated volume is 24.2 Å³ per atom.

=====

Below is a relaxed TlRe2P crystal, with properties calculated at the PBE level.

```
8
Lattice="-2.127 2.127 8.636 2.127 -2.127 8.636 2.127 2.127 -8.636" Properties=species:S:1:pos:R:3 pbc="T T T"
Tl 0.000 0.000 0.000
Tl 0.000 2.127 4.318
Re 1.064 -0.628 6.477
Re 1.499 1.064 2.159
Re 1.064 2.755 -2.159
Re 0.628 1.064 10.795
P 2.127 0.000 4.318
P 0.000 0.000 8.636
```

The crystal system is tetragonal. For the energy, the calculation gives -7.35 eV/atom. Its space group is I-42d. The energy relative to the lowest polymorph listed for this composition comes out at 494 meV/atom. The calculated volume is 19.5 Å³ per atom.

=====

Below is a relaxed TlRe2P crystal, with properties calculated at the PBE level.

```
4
Lattice="1.528 -2.548 0.000 1.528 2.548 0.000 0.000 0.000 8.599" Properties=species:S:1:pos:R:3 pbc="T T T"
Tl 0.000 0.000 0.000
Re 1.528 0.000 2.538
Re 1.528 0.000 6.061
P 0.000 0.000 4.299
```

The crystal system is orthorhombic. For the energy, the calculation gives -7.50 eV/atom. Its space group is Cmmm. The energy relative to the lowest polymorph listed for this composition comes out at 343 meV/atom. The calculated volume is 16.7 Å³ per atom.

=====

Below is a relaxed Tl3ReP crystal, with properties calculated at the PBE level.

```
5
Lattice="5.357 0.000 0.000 0.000 5.357 0.000 0.000 0.000 5.357" Properties=species:S:1:pos:R:3 pbc="T T T"
Tl 0.000 0.000 2.679
Tl 0.000 2.679 0.000
Tl 2.679 0.000 0.000
Re 0.000 0.000 0.000
P 2.679 2.679 2.679
```

The crystal system is cubic. For the energy, the calculation gives -3.91 eV/atom. Its space group is Pm-3m. The energy relative to the lowest polymorph listed for this composition comes out at 0 meV/atom. The calculated volume is 30.8 Å³ per atom.

=====

Below is a relaxed TlRe2P crystal, with properties calculated at the PBE level.

```
4
Lattice="3.654 -1.484 0.000 3.654 1.484 0.000 -1.622 0.000 6.492" Properties=species:S:1:pos:R:3 pbc="T T T"
Tl 0.000 0.000 0.000
Re 0.730 0.000 4.363
Re 4.957 0.000 2.130
P 2.843 0.000 3.246
```

The crystal system is monoclinic. For the energy, the calculation gives -7.67 eV/atom. Its space group is C2/m. The energy relative to the lowest polymorph listed for this composition comes out at 174 meV/atom. The calculated volume is 17.6 Å³ per atom.

=====

Below is a relaxed Tl2ReP crystal, with properties calculated at the PBE level.

```
4
Lattice="3.003 0.000 0.000 0.000 3.003 0.000 0.000 0.000 9.154" Properties=species:S:1:pos:R:3 pbc="T T T"
Tl 0.000 0.000 2.185
Tl 0.000 0.000 6.969
Re 1.501 1.501 0.000
P 1.501 1.501 4.577
```

The crystal system is tetragonal. For the energy, the calculation gives -4.47 eV/atom. Its space group is P4/mmm. The energy relative to the lowest polymorph listed for this composition comes out at 995 meV/atom. The calculated volume is 20.6 Å³ per atom.

=====

Below is a relaxed Tl2ReP crystal, with properties calculated at the PBE level.

```
4
Lattice="3.327 -4.719 0.000 3.327 4.719 0.000 -1.256 0.000 2.631" Properties=species:S:1:pos:R:3 pbc="T T T"
Tl 1.663 2.359 0.000
Tl 1.663 -2.359 0.000
Re -0.628 0.000 1.315
P 2.699 0.000 1.315
```

The crystal system is monoclinic. For the energy, the calculation gives -4.50 eV/atom. Its space group is C2/m. The energy relative to the lowest polymorph listed for this composition comes out at 969 meV/atom. The calculated volume is 20.6 Å³ per atom.

=====

Below is a relaxed Tl2ReP crystal, with properties calculated at the PBE level.

```
4
Lattice="3.191 -4.230 0.000 3.191 4.230 0.000 0.000 0.000 2.946" Properties=species:S:1:pos:R:3 pbc="T T T"
Tl 1.596 2.115 0.000
Tl 1.596 -2.115 0.000
Re 0.000 0.000 1.473
P 3.191 0.000 1.473
```

The crystal system is orthorhombic. For the energy, the calculation gives -4.58 eV/atom. Its space group is Cmmm. The energy relative to the lowest polymorph listed for this composition comes out at 885 meV/atom. The calculated volume is 19.9 Å³ per atom.

=====

Below is a relaxed Tl2ReP crystal, with properties calculated at the PBE level.

```
4
Lattice="1.528 0.882 10.090 -1.528 0.882 10.090 0.000 -1.764 10.090" Properties=species:S:1:pos:R:3 pbc="T T T"
Tl 0.000 0.000 7.480
Tl 0.000 0.000 22.792
Re 0.000 0.000 15.136
P 0.000 0.000 0.000
```

The crystal system is trigonal. For the energy, the calculation gives -4.56 eV/atom. Its space group is R-3m. The energy relative to the lowest polymorph listed for this composition comes out at 901 meV/atom. The calculated volume is 20.4 Å³ per atom.

=====

Below is a relaxed TmReP2 crystal, with properties calculated at the PBE level.

```
4
Lattice="2.046 1.181 4.603 -2.046 1.181 4.603 0.000 -2.363 4.603" Properties=species:S:1:pos:R:3 pbc="T T T"
Tm 0.000 0.000 0.000
Re 0.000 0.000 6.904
P 0.000 0.000 3.009
P 0.000 0.000 10.798
```

The crystal system is trigonal. For the energy, the calculation gives -7.66 eV/atom. Its space group is R-3m. The calculated volume is 16.7 Å³ per atom.

=====

Below is a relaxed U2ReP crystal, with properties calculated at the PBE level.

```
4
Lattice="3.595 0.000 0.000 0.000 3.595 0.000 0.000 0.000 5.717" Properties=species:S:1:pos:R:3 pbc="T T T"
U 0.000 0.000 1.251
U 0.000 0.000 4.466
Re 1.797 1.797 2.859
P 1.797 1.797 0.000
```

The crystal system is tetragonal. For the energy, the calculation gives -10.48 eV/atom. Its space group is P4/mmm. The energy relative to the lowest polymorph listed for this composition comes out at 0 meV/atom. The calculated volume is 18.5 Å³ per atom.

=====

no.,DFT formation energy (eV/atom)
1,1.12
2,0.52
3,0.43
4,1.11
5,1.12
6,0.91
7,1.21
8,1.02
9,1.03
10,3.64
11,0.82
12,0.67
13,1.08
14,0.50
15,1.18
16,1.15
17,1.07
18,1.08
19,-0.72
20,-0.37